1.
Computed, not measured: crystalline Tb8Sm5Pb at its relaxed geometry at the PBE level of DFT.

a = 9.677 Å, b = 9.677 Å, c = 10.042 Å
α = 90.00°, β = 90.00°, γ = 90.00°
Space group I-4 (No. 82)
Unique sites:
Tb: 0.069 0.325 0.406 [8 per cell]
Tb: 0.082 0.187 0.746 [8 per cell]
Sm: 0.000 0.000 0.500 [2 per cell]
Sm: 0.100 0.212 0.079 [8 per cell]
Pb: 0.000 0.500 0.750 [2 per cell]

Results
Mass density in Mg/m³: 7.9
D(E_F) in states/eV/f.u.: 18.42
Crystal system: tetragonal
ΔE_f in eV/f.u.: 2.330
DFT total energy in eV per atom: -4.43

2.
Computed, not measured: crystalline Tb7Sm12Pb at its relaxed geometry at the PBE level of DFT.

a = 11.6639 Å, b = 11.6639 Å, c = 17.4933 Å
α = 90.00°, β = 90.00°, γ = 120.00°
Space group R-3m (No. 166, hexagonal axes)
Unique sites:
Tb: 0.0000 0.0000 0.0000 [3 per cell]
Tb: 0.1062 0.2123 0.2534 [18 per cell]
Sm: 0.0669 0.5335 0.2524 [18 per cell]
Sm: 0.0783 0.5392 0.5754 [18 per cell]
Pb: 0.0000 0.0000 0.5000 [3 per cell]

Results
Mass density in Mg/m³: 7.6
D(E_F) in states/eV/f.u.: 28.36
Crystal system: trigonal
ΔE_f in eV/f.u.: 3.069
DFT total energy in eV per atom: -4.48

3.
Computed, not measured: crystalline Tb2SmPb9 at its relaxed geometry at the PBE level of DFT.

a = 4.893 Å, b = 4.893 Å, c = 14.674 Å
α = 90.00°, β = 90.00°, γ = 90.00°
Space group P4/mmm (No. 123)
Unique sites:
Tb: 0.000 0.000 0.166 [2 per cell]
Sm: 0.000 0.000 0.500 [1 per cell]
Pb: 0.000 0.500 0.000 [2 per cell]
Pb: 0.000 0.500 0.332 [4 per cell]
Pb: 0.500 0.500 0.166 [2 per cell]
Pb: 0.500 0.500 0.500 [1 per cell]

Results
Mass density in Mg/m³: 11.0
D(E_F) in states/eV/f.u.: 6.36
Crystal system: tetragonal
ΔE_f in eV/f.u.: -3.731
DFT total energy in eV per atom: -4.26

Q: Among the records above, which one has the lowest mass density?
A: Tb7Sm12Pb

Q: ΔE_f of number 1 (Tb8Sm5Pb)?
A: 2.330 eV/f.u.

Q: Which formula does entry 3 have?
A: Tb2SmPb9

Q: Among the records above, which one has the lowest D(E_F)?
A: Tb2SmPb9